A plane-wave DFT calculation with GGA-PBE was carried out for an optimized crystal structure of ErNi12Ge4.

Results
ΔE_f = 0.115 eV/atom
SG = No. 204
Electronic total energy = -5.32 eV per atom

abc: 6.8473 6.8473 6.8473
angles: 109.47 109.47 109.47
Closest atoms and distances in Å follow each position.
Sites, in units of the cell vectors:
Er1 0.0000 0.0000 0.0000  12 Ni 3.04
Ni1 0.1524 0.3534 0.5059  2 Ge 2.27, 2 Ni 2.32-2.41
Ni2 0.1524 0.6466 0.7990  2 Ge 2.27, 2 Ni 2.32-2.41
Ni3 0.2010 0.8476 0.3534  2 Ge 2.27, 2 Ni 2.32-2.41
Ni4 0.3534 0.2010 0.8476  2 Ge 2.27, 2 Ni 2.32-2.41
Ni5 0.3534 0.5059 0.1524  2 Ge 2.27, 2 Ni 2.32-2.41
Ni6 0.4941 0.8476 0.6466  2 Ge 2.27, 2 Ni 2.32-2.41
Ni7 0.5059 0.1524 0.3534  2 Ge 2.27, 2 Ni 2.32-2.41
Ni8 0.6466 0.4941 0.8476  2 Ge 2.27, 2 Ni 2.32-2.41
Ni9 0.6466 0.7990 0.1524  2 Ge 2.27, 2 Ni 2.32-2.41
Ni10 0.7990 0.1524 0.6466  2 Ge 2.27, 2 Ni 2.32-2.41
Ni11 0.8476 0.3534 0.2010  2 Ge 2.27, 2 Ni 2.32-2.41
Ni12 0.8476 0.6466 0.4941  2 Ge 2.27, 2 Ni 2.32-2.41
Ge1 0.0000 0.0000 0.5000  6 Ni 2.27
Ge2 0.0000 0.5000 0.0000  6 Ni 2.27
Ge3 0.5000 0.0000 0.0000  6 Ni 2.27
Ge4 0.5000 0.5000 0.5000  6 Ni 2.27

---

A plane-wave DFT calculation with GGA-PBE was carried out for an optimized crystal structure of ErNi5Ge.

Results
ΔE_f = -0.394 eV/atom
SG = No. 62
Electronic total energy = -5.83 eV per atom

abc: 7.8182 4.8617 9.8197
angles: 90.00 90.00 90.00
Closest atoms and distances in Å follow each position.
Sites, in units of the cell vectors:
Er1 0.2473 0.2500 0.0581  11 Ni 2.75-3.06, 1 Ge 3.03
Er2 0.2527 0.7500 0.5581  11 Ni 2.75-3.06, 1 Ge 3.03
Er3 0.7473 0.2500 0.4419  11 Ni 2.75-3.06, 1 Ge 3.03
Er4 0.7527 0.7500 0.9419  11 Ni 2.75-3.06, 1 Ge 3.03
Ni1 0.0604 0.7500 0.0855  1 Ge 2.37, 4 Ni 2.47-2.59
Ni2 0.0631 0.0058 0.3025  7 Ni 2.37-2.49, 2 Ge 2.56-2.59
Ni3 0.0631 0.4942 0.3025  7 Ni 2.37-2.49, 2 Ge 2.56-2.59
Ni4 0.0955 0.2500 0.5180  5 Ni 2.44-2.49, 1 Ge 2.55
Ni5 0.1862 0.2500 0.7562  7 Ni 2.37-2.59, 2 Ge 2.63
Ni6 0.3138 0.7500 0.2562  7 Ni 2.37-2.59, 2 Ge 2.63
Ni7 0.4045 0.7500 0.0180  5 Ni 2.44-2.49, 1 Ge 2.55
Ni8 0.4369 0.5058 0.8025  7 Ni 2.37-2.49, 2 Ge 2.56-2.59
Ni9 0.4369 0.9942 0.8025  7 Ni 2.37-2.49, 2 Ge 2.56-2.59
Ni10 0.4396 0.2500 0.5855  1 Ge 2.37, 4 Ni 2.47-2.59
Ni11 0.5604 0.7500 0.4145  1 Ge 2.37, 4 Ni 2.47-2.59
Ni12 0.5631 0.0058 0.1975  7 Ni 2.37-2.49, 2 Ge 2.56-2.59
Ni13 0.5631 0.4942 0.1975  7 Ni 2.37-2.49, 2 Ge 2.56-2.59
Ni14 0.5955 0.2500 0.9820  5 Ni 2.44-2.49, 1 Ge 2.55
Ni15 0.6862 0.2500 0.7438  7 Ni 2.37-2.59, 2 Ge 2.63
Ni16 0.8138 0.7500 0.2438  7 Ni 2.37-2.59, 2 Ge 2.63
Ni17 0.9045 0.7500 0.4820  5 Ni 2.44-2.49, 1 Ge 2.55
Ni18 0.9369 0.5058 0.6975  7 Ni 2.37-2.49, 2 Ge 2.56-2.59
Ni19 0.9369 0.9942 0.6975  7 Ni 2.37-2.49, 2 Ge 2.56-2.59
Ni20 0.9396 0.2500 0.9145  1 Ge 2.37, 4 Ni 2.47-2.59
Ge1 0.1497 0.7500 0.8551  8 Ni 2.37-2.63
Ge2 0.3503 0.2500 0.3551  8 Ni 2.37-2.63
Ge3 0.6497 0.7500 0.6449  8 Ni 2.37-2.63
Ge4 0.8503 0.2500 0.1449  8 Ni 2.37-2.63

---

A plane-wave DFT calculation with GGA-PBE was carried out for an optimized crystal structure of ErNi4Ge2.

Results
ΔE_f = -0.475 eV/atom
Excess energy over the best structure of this formula in the dataset = 5.4 kJ per mole of atoms
SG = No. 166
Electronic total energy = -5.75 eV per atom

abc: 7.5872 7.5872 7.5872
angles: 30.81 30.81 30.81
Closest atoms and distances in Å follow each position.
Sites, in units of the cell vectors:
Er1 0.0000 0.0000 0.0000  6 Ge 2.95, 8 Ni 3.06-3.25
Ni1 0.1410 0.1410 0.1410  4 Ge 2.36-2.64, 6 Ni 2.46-2.58
Ni2 0.4382 0.4382 0.4382  3 Ge 2.37, 3 Ni 2.46
Ni3 0.5618 0.5618 0.5618  3 Ge 2.37, 3 Ni 2.46
Ni4 0.8590 0.8590 0.8590  4 Ge 2.36-2.64, 6 Ni 2.46-2.58
Ge1 0.2499 0.2499 0.2499  7 Ni 2.36-2.64
Ge2 0.7501 0.7501 0.7501  7 Ni 2.36-2.64

---

A plane-wave DFT calculation with GGA-PBE was carried out for an optimized crystal structure of Er3Ni2Ge3.

Results
ΔE_f = -0.802 eV/atom
Excess energy over the best structure of this formula in the dataset = 2.5 kJ per mole of atoms
SG = No. 62
Electronic total energy = -5.69 eV per atom

abc: 7.7070 14.0426 5.5832
angles: 90.00 90.00 90.00
Closest atoms and distances in Å follow each position.
Sites, in units of the cell vectors:
Er1 0.0367 0.1095 0.1307  3 Ni 2.91-3.17, 6 Ge 2.95-3.14
Er2 0.0367 0.3905 0.1307  3 Ni 2.91-3.17, 6 Ge 2.95-3.14
Er3 0.1797 0.2500 0.6276  5 Ge 2.90-3.11, 4 Ni 2.96-3.06
Er4 0.3203 0.7500 0.1276  5 Ge 2.90-3.11, 4 Ni 2.96-3.06
Er5 0.4633 0.6095 0.6307  3 Ni 2.91-3.17, 6 Ge 2.95-3.14
Er6 0.4633 0.8905 0.6307  3 Ni 2.91-3.17, 6 Ge 2.95-3.14
Er7 0.5367 0.1095 0.3693  3 Ni 2.91-3.17, 6 Ge 2.95-3.14
Er8 0.5367 0.3905 0.3693  3 Ni 2.91-3.17, 6 Ge 2.95-3.14
Er9 0.6797 0.2500 0.8724  5 Ge 2.90-3.11, 4 Ni 2.96-3.06
Er10 0.8203 0.7500 0.3724  5 Ge 2.90-3.11, 4 Ni 2.96-3.06
Er11 0.9633 0.6095 0.8693  3 Ni 2.91-3.17, 6 Ge 2.95-3.14
Er12 0.9633 0.8905 0.8693  3 Ni 2.91-3.17, 6 Ge 2.95-3.14
Ni1 0.0941 0.6023 0.3807  4 Ge 2.37-2.51
Ni2 0.0941 0.8977 0.3807  4 Ge 2.37-2.51
Ni3 0.4059 0.1023 0.8807  4 Ge 2.37-2.51
Ni4 0.4059 0.3977 0.8807  4 Ge 2.37-2.51
Ni5 0.5941 0.6023 0.1193  4 Ge 2.37-2.51
Ni6 0.5941 0.8977 0.1193  4 Ge 2.37-2.51
Ni7 0.9059 0.1023 0.6193  4 Ge 2.37-2.51
Ni8 0.9059 0.3977 0.6193  4 Ge 2.37-2.51
Ge1 0.1751 0.7500 0.6070  2 Ni 2.51
Ge2 0.1925 0.0406 0.6150  3 Ni 2.37-2.51
Ge3 0.1925 0.4594 0.6150  3 Ni 2.37-2.51
Ge4 0.3075 0.5406 0.1150  3 Ni 2.37-2.51
Ge5 0.3075 0.9594 0.1150  3 Ni 2.37-2.51
Ge6 0.3249 0.2500 0.1070  2 Ni 2.51
Ge7 0.6751 0.7500 0.8930  2 Ni 2.51
Ge8 0.6925 0.0406 0.8850  3 Ni 2.37-2.51
Ge9 0.6925 0.4594 0.8850  3 Ni 2.37-2.51
Ge10 0.8075 0.5406 0.3850  3 Ni 2.37-2.51
Ge11 0.8075 0.9594 0.3850  3 Ni 2.37-2.51
Ge12 0.8249 0.2500 0.3930  2 Ni 2.51

---

A plane-wave DFT calculation with GGA-PBE was carried out for an optimized crystal structure of ErNi4Ge2.

Results
ΔE_f = -0.531 eV/atom
Excess energy over the best structure of this formula in the dataset = 0.0 kJ per mole of atoms
SG = No. 136
Electronic total energy = -5.81 eV per atom

abc: 7.2712 7.2712 3.7489
angles: 90.00 90.00 90.00
Closest atoms and distances in Å follow each position.
Sites, in units of the cell vectors:
Er1 0.0000 0.0000 0.0000  6 Ge 2.88-2.93, 12 Ni 3.19-3.22
Er2 0.5000 0.5000 0.5000  6 Ge 2.88-2.93, 12 Ni 3.19-3.22
Ni1 0.0863 0.3437 0.5000  3 Ge 2.39-2.40, 6 Ni 2.60-2.65
Ni2 0.1563 0.5863 0.0000  3 Ge 2.39-2.40, 6 Ni 2.60-2.65
Ni3 0.3437 0.0863 0.5000  3 Ge 2.39-2.40, 6 Ni 2.60-2.65
Ni4 0.4137 0.8437 0.0000  3 Ge 2.39-2.40, 6 Ni 2.60-2.65
Ni5 0.5863 0.1563 0.0000  3 Ge 2.39-2.40, 6 Ni 2.60-2.65
Ni6 0.6563 0.9137 0.5000  3 Ge 2.39-2.40, 6 Ni 2.60-2.65
Ni7 0.8437 0.4137 0.0000  3 Ge 2.39-2.40, 6 Ni 2.60-2.65
Ni8 0.9137 0.6563 0.5000  3 Ge 2.39-2.40, 6 Ni 2.60-2.65
Ge1 0.2196 0.7804 0.5000  6 Ni 2.39-2.40
Ge2 0.2804 0.2804 0.0000  6 Ni 2.39-2.40
Ge3 0.7196 0.7196 0.0000  6 Ni 2.39-2.40
Ge4 0.7804 0.2196 0.5000  6 Ni 2.39-2.40

---

A plane-wave DFT calculation with GGA-PBE was carried out for an optimized crystal structure of Er3Ni9GeP2.

Results
ΔE_f = -0.449 eV/atom
SG = No. 164
Electronic total energy = -5.86 eV per atom

abc: 5.7925 5.7925 8.1493
angles: 90.00 90.00 120.00
Closest atoms and distances in Å follow each position.
Sites, in units of the cell vectors:
Er1 0.0000 0.0000 0.0000  12 Ni 2.73-2.90
Er2 0.3333 0.6667 0.6545  9 Ni 2.95-3.27
Er3 0.6667 0.3333 0.3455  9 Ni 2.95-3.27
Ni1 0.0000 0.5000 0.0000  2 P 2.17
Ni2 0.1468 0.2935 0.2818  1 P 2.08, 1 Ge 2.31
Ni3 0.1468 0.8532 0.2818  1 P 2.08, 1 Ge 2.31
Ni4 0.2935 0.1468 0.7182  1 P 2.08, 1 Ge 2.31
Ni5 0.5000 0.0000 0.0000  2 P 2.17
Ni6 0.5000 0.5000 0.0000  2 P 2.17
Ni7 0.7065 0.8532 0.2818  1 P 2.08, 1 Ge 2.31
Ni8 0.8532 0.1468 0.7182  1 P 2.08, 1 Ge 2.31
Ni9 0.8532 0.7065 0.7182  1 P 2.08, 1 Ge 2.31
Ge1 0.0000 0.0000 0.5000  6 Ni 2.31
P1 0.3333 0.6667 0.1697  6 Ni 2.08-2.17
P2 0.6667 0.3333 0.8303  6 Ni 2.08-2.17

---

Look up the ΔE_f of the fourth one. -0.802 eV/atom

---

Which of these has the highest ΔE_f? ErNi12Ge4